Record 1
Here is a relaxed AcRhCl6 crystal from Alexandria. Energies are from GGA-PBE.

abc: 7.0821 7.0821 7.0821
angles: 54.50 54.50 54.50
Atoms (fractional coordinates):
Ac1 0.0000 0.0000 0.0000
Rh1 0.5000 0.5000 0.5000
Cl1 0.1123 0.7077 0.4532
Cl2 0.2923 0.5468 0.8877
Cl3 0.4532 0.1123 0.7077
Cl4 0.5468 0.8877 0.2923
Cl5 0.7077 0.4532 0.1123
Cl6 0.8877 0.2923 0.5468

Output
uncorrected formation energy = -1.417 eV/atom
total magnetic moment = 0.000 μB/atom
raw total energy = -4.235 eV per atom
space-group type = No. 148
theoretical density = 4.11 g/cm³



Record 2
Here is a relaxed Na4TlSb crystal from Alexandria. Energies are from GGA-PBE.

abc: 11.2612 11.2612 11.2612
angles: 150.65 41.98 150.65
Atoms (fractional coordinates):
Na1 0.0818 0.9995 0.0823
Na2 0.1745 0.5009 0.6736
Na3 0.3272 0.5009 0.8264
Na4 0.4173 0.9995 0.4177
Na5 0.5827 0.0005 0.5823
Na6 0.6728 0.4991 0.1736
Na7 0.8255 0.4991 0.3264
Na8 0.9182 0.0005 0.9177
Tl1 0.0000 0.5000 0.5000
Tl2 0.5000 0.5000 0.0000
Sb1 0.2491 0.9991 0.2500
Sb2 0.7509 0.0009 0.7500

Output
uncorrected formation energy = -0.177 eV/atom
total magnetic moment = 0.000 μB/atom
raw total energy = -2.138 eV per atom
space-group type = No. 74
theoretical density = 4.06 g/cm³



Record 3
Here is a relaxed Nb2V2P crystal from Alexandria. Energies are from GGA-PBE.

abc: 6.5186 6.5186 4.1734
angles: 90.00 90.00 90.00
Atoms (fractional coordinates):
Nb1 0.1668 0.3332 0.0000
Nb2 0.3332 0.8332 0.0000
Nb3 0.6668 0.1668 0.0000
Nb4 0.8332 0.6668 0.0000
V1 0.1116 0.6116 0.5000
V2 0.3884 0.1116 0.5000
V3 0.6116 0.8884 0.5000
V4 0.8884 0.3884 0.5000
P1 0.0000 0.0000 0.0000
P2 0.5000 0.5000 0.0000

Output
energy relative to the lowest polymorph listed for this composition = 0 meV per atom
total magnetic moment = 0.000 μB/atom
raw total energy = -8.586 eV per atom
space-group type = No. 127
formation energy = 0.17 eV per atom
theoretical density = 5.97 g/cm³



Record 4
Here is a relaxed Zn2Hg2Sb crystal from Alexandria. Energies are from GGA-PBE.

abc: 8.1934 8.1934 3.3090
angles: 90.00 90.00 90.00
Atoms (fractional coordinates):
Zn1 0.1725 0.3275 0.0000
Zn2 0.3275 0.8275 0.0000
Zn3 0.6725 0.1725 0.0000
Zn4 0.8275 0.6725 0.0000
Hg1 0.1314 0.6314 0.5000
Hg2 0.3686 0.1314 0.5000
Hg3 0.6314 0.8686 0.5000
Hg4 0.8686 0.3686 0.5000
Sb1 0.0000 0.0000 0.0000
Sb2 0.5000 0.5000 0.0000

Output
energy relative to the lowest polymorph listed for this composition = 0 meV per atom
uncorrected formation energy = 0.163 eV/atom
total magnetic moment = 0.000 μB/atom
raw total energy = -1.292 eV per atom
space-group type = No. 127
theoretical density = 9.77 g/cm³



Record 5
Here is a relaxed Li2Pa2Cu15 crystal from Alexandria. Energies are from GGA-PBE.

abc: 6.4796 6.4796 6.4796
angles: 82.60 82.60 82.60
Atoms (fractional coordinates):
Li1 0.0937 0.0937 0.0937
Li2 0.9063 0.9063 0.9063
Pa1 0.3535 0.3535 0.3535
Pa2 0.6465 0.6465 0.6465
Cu1 0.0000 0.0000 0.5000
Cu2 0.0000 0.3058 0.6942
Cu3 0.0000 0.5000 0.0000
Cu4 0.0000 0.6942 0.3058
Cu5 0.1567 0.6535 0.6535
Cu6 0.3058 0.0000 0.6942
Cu7 0.3058 0.6942 0.0000
Cu8 0.3465 0.3465 0.8433
Cu9 0.3465 0.8433 0.3465
Cu10 0.5000 0.0000 0.0000
Cu11 0.6535 0.1567 0.6535
Cu12 0.6535 0.6535 0.1567
Cu13 0.6942 0.0000 0.3058
Cu14 0.6942 0.3058 0.0000
Cu15 0.8433 0.3465 0.3465

Output
total magnetic moment = 0.037 μB/atom
raw total energy = -4.447 eV per atom
space-group type = No. 166
formation energy = -0.01 eV per atom
theoretical density = 8.93 g/cm³



Record 6
Here is a relaxed BaHgMoRu2 crystal from Alexandria. Energies are from GGA-PBE.

abc: 4.7258 4.7258 6.0355
angles: 90.00 90.00 90.00
Atoms (fractional coordinates):
Ba1 0.0000 0.0000 0.0000
Hg1 0.5000 0.5000 0.0000
Mo1 0.0000 0.0000 0.5000
Ru1 0.0000 0.5000 0.5000
Ru2 0.5000 0.0000 0.5000

Output
total magnetic moment = 0.040 μB/atom
raw total energy = -5.202 eV per atom
space-group type = No. 123
formation energy = 1.12 eV per atom
theoretical density = 7.83 g/cm³



Record 7
Here is a relaxed Dy3Pu3ScTe8 crystal from Alexandria. Energies are from GGA-PBE.

abc: 8.7620 8.7620 8.7620
angles: 59.71 59.71 59.71
Atoms (fractional coordinates):
Dy1 0.0000 0.5000 0.5000
Dy2 0.5000 0.0000 0.5000
Dy3 0.5000 0.5000 0.0000
Pu1 0.0000 0.0000 0.5000
Pu2 0.0000 0.5000 0.0000
Pu3 0.5000 0.0000 0.0000
Sc1 0.0000 0.0000 0.0000
Te1 0.2452 0.2452 0.7507
Te2 0.2452 0.7506 0.2452
Te3 0.2493 0.7548 0.7548
Te4 0.2514 0.2514 0.2514
Te5 0.7486 0.7486 0.7486
Te6 0.7506 0.2452 0.2452
Te7 0.7548 0.2493 0.7548
Te8 0.7548 0.7548 0.2494

Output
uncorrected formation energy = -1.238 eV/atom
total magnetic moment = 1.189 μB/atom
raw total energy = -7.123 eV per atom
space-group type = No. 166
theoretical density = 8.03 g/cm³



Record 8
Here is a relaxed RbBeNbAg2 crystal from Alexandria. Energies are from GGA-PBE.

abc: 4.8985 4.8985 4.7678
angles: 90.00 90.00 90.00
Atoms (fractional coordinates):
Rb1 0.0000 0.0000 0.0000
Be1 0.5000 0.5000 0.5000
Nb1 0.5000 0.5000 0.0000
Ag1 0.0000 0.5000 0.5000
Ag2 0.5000 0.0000 0.5000

Output
total magnetic moment = 0.664 μB/atom
raw total energy = -3.282 eV per atom
space-group type = No. 123
formation energy = 0.81 eV per atom
theoretical density = 5.85 g/cm³